This record from Alexandria via LeMat-Bulk describes a relaxed TaRePb2 crystal. The functional is GGA-PBE.

Calculated values
The symmetry is Immm (71). The raw total energy is -6.9640 eV per atom. The value obtained for the energy above the most stable polymorph in this dataset is 68.04 kJ per mole of atoms. For the energy relative to the elements, the calculation gives 0.965 eV per atom.

Cell: 5.775 5.775 5.775 Å, 146.56 126.94 64.18°
Atoms (fractional coordinates):
1 Ta 0.000 0.000 0.000
2 Re 0.500 0.500 0.000
3 Pb 0.266 0.766 0.500
4 Pb 0.734 0.234 0.500

=====

This record from Alexandria via LeMat-Bulk describes a relaxed TaRePb2 crystal. The functional is GGA-PBE.

Calculated values
The symmetry is R-3m (166). The raw total energy is -6.9372 eV per atom. The value obtained for the energy above the most stable polymorph in this dataset is 70.62 kJ per mole of atoms. For the energy relative to the elements, the calculation gives 0.992 eV per atom.

Cell: 9.455 9.455 9.455 Å, 19.46 19.46 19.46°
Atoms (fractional coordinates):
1 Ta 0.000 0.000 0.000
2 Re 0.500 0.500 0.500
3 Pb 0.246 0.246 0.246
4 Pb 0.754 0.754 0.754